Version 1
Computed, not measured: a geometry-optimized KGa structure at the GGA-PBE level of DFT.

Unit cell a=5.8693 b=5.8693 c=6.9484 alpha=90.00 beta=90.00 gamma=120.00
Space group P6_3/mmc (No. 194)
Asymmetric unit:
K 0.3333 0.6667 0.2500 (multiplicity 2)
Ga 0.3333 0.6667 0.7500 (multiplicity 2)

***

Version 2
Computed, not measured: a geometry-optimized KGa structure at the GGA-PBE level of DFT.

Unit cell a=12.7925 b=12.7925 c=4.4967 alpha=90.00 beta=90.00 gamma=90.00
Space group I4/mmm (No. 139)
Asymmetric unit:
K 0.0000 0.2527 0.0000 (multiplicity 8)
Ga 0.2224 0.2224 0.5000 (multiplicity 8)

***

version 2 is favored, and the nearest alternative lies 0.624 eV/atom above it.